The following is a DFT calculation (PBE) of crystalline VSnAuBr at its relaxed geometry.

Cell and atoms, written as extended XYZ:
```
4
Lattice="3.2341 0.0105 0.0018 1.6084 2.8058 0.0045 1.5136 0.9869 9.9885" Properties=species:S:1:pos:R:3 pbc="T T T"
Sn 2.3807 2.1407 2.4463
Br 3.9998 1.2006 8.4727
Au 4.0012 1.2045 4.8632
V 3.9952 3.0695 6.8282
```

Values from the calculation:
Size of the total moment in μB per cell: 0.00
Space group: Cm
Distance to the lowest polymorph of the same formula in meV per atom: 17
ΔE_f (raw) in eV/f.u.: -0.4